# 1
## Ce4OsN (PBE-GGA)

Data for an optimized crystal structure of Ce4OsN.

Results
Theoretical density, g/cm³: 8.4
Energy relative to the elements, uncorrected, eV per formula unit: -2.501
Total magnetic moment, μB per formula unit: 1.81

abc: 7.3330 7.3330 7.3330
angles: 106.41 106.41 115.79
Site moments in Bohr magnetons follow the coordinates.
Fractional coordinates of all 12 atoms:
Ce  0.2772  0.9694  0.6922  0.27
Ce  0.7230  0.4285  0.7055  0.49
Ce  0.7194  0.5272  0.1922  0.27
Ce  0.1785  0.9730  0.2055  0.49
Ce  0.3350  0.5272  0.8078  0.27
Ce  0.7675  0.9730  0.7945  0.49
Ce  0.7230  0.0175  0.2945  0.49
Ce  0.2772  0.5850  0.3078  0.27
Os  0.2345  0.2345  0.0000  -0.04
Os  0.9845  0.4845  0.5000  -0.04
N  0.7651  0.7651  0.0000  -0.03
N  0.5151  0.0151  0.5000  -0.03

---

# 2
## Nd3Dy2Th (PBE-GGA)

Data for an optimized crystal structure of Nd3Dy2Th.

Results
Theoretical density, g/cm³: 8.1
Energy of formation from the pure elements, eV/atom: 0.0505
Total magnetic moment, μB per formula unit: 0.00

abc: 3.6378 11.2606 11.3130
angles: 62.89 80.75 80.70
Fractional coordinates of all 12 atoms:
Nd  0.7294  0.1503  0.3909
Nd  0.9428  0.6884  0.4259
Nd  0.6129  0.5137  0.2605
Nd  0.2706  0.8497  0.6091
Nd  0.3871  0.4863  0.7395
Nd  0.0572  0.3116  0.5741
Dy  0.7200  0.6514  0.9087
Dy  0.2800  0.3486  0.0913
Dy  0.0545  0.8230  0.0680
Dy  0.9455  0.1770  0.9320
Th  0.6099  0.0093  0.7709
Th  0.3901  0.9907  0.2291

---

# 3
## ScFe2Pb (PBE-GGA)

Data for an optimized crystal structure of ScFe2Pb.

Results
Theoretical density, g/cm³: 7.7
Energy of formation from the pure elements, eV/atom: 0.5306
Total magnetic moment, μB per formula unit: 5.20

abc: 4.0280 4.0280 10.0284
angles: 78.41 78.41 90.00
Site moments in Bohr magnetons follow the coordinates.
Fractional coordinates of all 8 atoms:
Pb  0.0000  0.0000  0.0000  0.02
Pb  0.7500  0.2500  0.5000  0.02
Sc  0.5000  0.5000  0.0000  -0.17
Sc  0.2500  0.7500  0.5000  -0.17
Fe  0.5973  0.1250  0.2500  2.73
Fe  0.1527  0.6250  0.2500  2.73
Fe  0.3750  0.4027  0.7500  2.62
Fe  0.8750  0.8473  0.7500  2.64

---

# 4
## Na2YNpO4 (PBE-GGA)

Data for an optimized crystal structure of Na2YNpO4.

Results
Theoretical density, g/cm³: 6.2
Energy relative to the elements, uncorrected, eV per formula unit: -19.812
Total magnetic moment, μB per formula unit: 4.00

abc: 3.4688 5.9912 5.9937
angles: 109.62 90.00 90.00
Site moments in Bohr magnetons follow the coordinates.
Fractional coordinates of all 8 atoms:
Na  0.5000  0.0000  0.5000  0.00
Na  0.0000  0.5000  0.5000  0.00
Y  0.5000  0.5000  0.0000  0.11
Np  0.0000  0.0000  0.0000  3.77
O  0.5000  0.2395  0.2167  -0.05
O  0.5000  0.7605  0.7833  -0.05
O  0.0000  0.2646  0.7854  -0.02
O  0.0000  0.7354  0.2146  -0.02

---

# 5
## AcLa6PmHo2 (PBE-GGA)

Data for an optimized crystal structure of AcLa6PmHo2.

Results
Theoretical density, g/cm³: 7.0
Energy of formation from the pure elements, eV/atom: 0.1046
Total magnetic moment, μB per formula unit: 0.00

abc: 10.0407 9.1033 9.1033
angles: 117.23 94.00 94.00
Fractional coordinates of all 20 atoms:
Ac  0.2500  0.9729  0.0271
Ac  0.7500  0.0271  0.9729
La  0.0518  0.1093  0.7510
La  0.4482  0.2490  0.8907
La  0.9482  0.8907  0.2490
La  0.5518  0.7510  0.1093
La  0.3156  0.9917  0.4471
La  0.1844  0.5529  0.0083
La  0.6844  0.0083  0.5529
La  0.8156  0.4471  0.9917
La  0.1220  0.7030  0.4910
La  0.3780  0.5090  0.2970
La  0.8780  0.2970  0.5090
La  0.6220  0.4910  0.7030
Pm  0.2500  0.4086  0.5914
Pm  0.7500  0.5914  0.4086
Ho  0.4534  0.7998  0.6993
Ho  0.0466  0.3007  0.2002
Ho  0.5466  0.2002  0.3007
Ho  0.9534  0.6993  0.7998

---

# 6
## NaS2Br (PBE-GGA)

Data for an optimized crystal structure of NaS2Br.

Results
Theoretical density, g/cm³: 2.7
Energy relative to the elements, uncorrected, eV per formula unit: 0.500
Total magnetic moment, μB per formula unit: 0.00

abc: 5.7146 5.7146 5.7146
angles: 50.64 50.64 50.64
Fractional coordinates of all 4 atoms:
Na  0.0000  0.0000  0.0000
S  0.8210  0.8210  0.8210
S  0.1790  0.1790  0.1790
Br  0.5000  0.5000  0.5000

---

# 7
## Ni4BiAu (PBE-GGA)

Data for an optimized crystal structure of Ni4BiAu.

Results
Theoretical density, g/cm³: 12.2
Energy of formation from the pure elements, eV/atom: 0.1457
Total magnetic moment, μB per formula unit: 0.00

abc: 4.9721 4.9721 4.9721
angles: 60.00 60.00 60.00
Fractional coordinates of all 6 atoms:
Ni  0.6257  0.6257  0.1229
Ni  0.6257  0.1229  0.6257
Ni  0.6257  0.6257  0.6257
Ni  0.1229  0.6257  0.6257
Au  0.0000  0.0000  0.0000
Bi  0.2500  0.2500  0.2500

---

# 8
## AcC (PBE-GGA)

Data for an optimized crystal structure of AcC.

Results
Theoretical density, g/cm³: 7.0
Energy of formation from the pure elements, eV/atom: -0.0296
Total magnetic moment, μB per formula unit: 0.00

abc: 3.9675 4.5209 7.0095
angles: 87.94 90.00 116.03
Fractional coordinates of all 4 atoms:
Ac  0.3610  0.7219  0.2797
Ac  0.6390  0.2781  0.7203
C  0.0763  0.1525  0.4585
C  0.9237  0.8475  0.5415

---

# 9
## NbAs2AuSe (PBE-GGA)

Data for an optimized crystal structure of NbAs2AuSe.

Results
Theoretical density, g/cm³: 6.9
Energy relative to the elements, uncorrected, eV per formula unit: 1.953
Total magnetic moment, μB per formula unit: 0.00

abc: 5.0393 5.0393 4.9235
angles: 90.00 90.00 90.00
Fractional coordinates of all 5 atoms:
Nb  0.0000  0.0000  0.0000
Au  0.5000  0.5000  0.5000
As  0.0000  0.5000  0.0000
As  0.5000  0.0000  0.0000
Se  0.0000  0.0000  0.5000

---

# 10
## MgCrCd2 (PBE-GGA)

Data for an optimized crystal structure of MgCrCd2.

Results
Theoretical density, g/cm³: 6.8
Energy of formation from the pure elements, eV/atom: 0.3870
Total magnetic moment, μB per formula unit: 0.00

abc: 2.8513 2.8513 9.3082
angles: 90.00 90.00 102.39
Fractional coordinates of all 4 atoms:
Cd  0.0000  0.0000  0.9948
Cd  0.5000  0.5000  0.2768
Cr  0.0000  0.0000  0.5051
Mg  0.5000  0.5000  0.7233

---

# 11
## LaEuTlSi (PBE-GGA)

Data for an optimized crystal structure of LaEuTlSi.

Results
Theoretical density, g/cm³: 7.7
Energy relative to the elements, uncorrected, eV per formula unit: -1.463
Total magnetic moment, μB per formula unit: 7.18

abc: 5.4160 5.4160 5.4160
angles: 60.00 60.00 60.00
Site moments in Bohr magnetons follow the coordinates.
Fractional coordinates of all 4 atoms:
Eu  0.0000  0.0000  0.0000  6.83
Tl  0.2500  0.2500  0.2500  0.01
Si  0.7500  0.7500  0.7500  -0.03
La  0.5000  0.5000  0.5000  0.06

---

# 12
## CeEuGaCu (PBE-GGA)

Data for an optimized crystal structure of CeEuGaCu.

Results
Theoretical density, g/cm³: 7.3
Energy of formation from the pure elements, eV/atom: -0.2288
Total magnetic moment, μB per formula unit: 7.44

abc: 5.1574 5.1574 5.1574
angles: 60.00 60.00 60.00
Site moments in Bohr magnetons follow the coordinates.
Fractional coordinates of all 4 atoms:
Eu  0.5000  0.5000  0.5000  6.76
Cu  0.7500  0.7500  0.7500  -0.01
Ga  0.2500  0.2500  0.2500  -0.04
Ce  0.0000  0.0000  0.0000  0.50

---

# 13
## ScTiCrCd2 (PBE-GGA)

Data for an optimized crystal structure of ScTiCrCd2.

Results
Theoretical density, g/cm³: 4.7
Energy of formation from the pure elements, eV/atom: 1.2159
Total magnetic moment, μB per formula unit: 4.92

abc: 5.3467 4.5657 5.3467
angles: 90.00 90.00 90.00
Site moments in Bohr magnetons follow the coordinates.
Fractional coordinates of all 5 atoms:
Sc  0.0000  0.0000  0.0000  0.01
Cr  0.5000  0.5000  0.5000  4.10
Ti  0.0000  0.5000  0.0000  0.18
Cd  0.0000  0.0000  0.5000  0.00
Cd  0.5000  0.0000  0.0000  -0.01

---

# 14
## Ba2PW (PBE-GGA)

Data for an optimized crystal structure of Ba2PW.

Results
Theoretical density, g/cm³: 6.5
Energy of formation from the pure elements, eV/atom: 0.7915
Total magnetic moment, μB per formula unit: 3.86

abc: 5.3231 5.3231 4.3910
angles: 89.97 89.97 92.03
Site moments in Bohr magnetons follow the coordinates.
Fractional coordinates of all 4 atoms:
Ba  0.0000  0.0000  0.0000  0.06
Ba  0.5000  0.5000  0.0000  0.06
P  0.5000  0.0000  0.5000  -0.02
W  0.0000  0.5000  0.5000  2.72

---

# 15
## AlNi2W (PBE-GGA)

Data for an optimized crystal structure of AlNi2W.

Results
Theoretical density, g/cm³: 10.6
Energy of formation from the pure elements, eV/atom: -0.1745
Total magnetic moment, μB per formula unit: 0.00

abc: 2.8723 2.8723 6.2347
angles: 90.00 90.00 90.00
Fractional coordinates of all 4 atoms:
Ni  0.0000  0.0000  0.9986
Ni  0.5000  0.5000  0.2334
Al  0.5000  0.5000  0.7855
W  0.0000  0.0000  0.4824

---

# 16
## SrMgZnIr2 (PBE-GGA)

Data for an optimized crystal structure of SrMgZnIr2.

Results
Theoretical density, g/cm³: 9.0
Energy of formation from the pure elements, eV/atom: -0.2201
Total magnetic moment, μB per formula unit: 0.00

abc: 4.3381 4.3382 6.3084
angles: 110.11 110.11 90.00
Fractional coordinates of all 5 atoms:
Sr  0.4467  0.4467  0.8935
Mg  0.1898  0.6900  0.3797
Zn  0.8328  0.8327  0.6656
Ir  0.6782  0.1781  0.3565
Ir  0.0646  0.0647  0.1291

---

# 17
## Zr2RhPb (PBE-GGA)

Data for an optimized crystal structure of Zr2RhPb.

Results
Theoretical density, g/cm³: 9.9
Energy of formation from the pure elements, eV/atom: -0.3384
Total magnetic moment, μB per formula unit: 0.00

abc: 5.3215 5.3215 4.7381
angles: 63.55 63.55 44.37
Fractional coordinates of all 4 atoms:
Pb  0.2500  0.2500  0.2500
Rh  0.7500  0.7500  0.7500
Zr  0.0183  0.0183  0.9816
Zr  0.4817  0.4817  0.5184

---

# 18
## K2OsSe (PBE-GGA)

Data for an optimized crystal structure of K2OsSe.

Results
Theoretical density, g/cm³: 6.6
Energy relative to the elements, uncorrected, eV per formula unit: 2.979
Total magnetic moment, μB per formula unit: 0.28

abc: 11.1452 11.1452 11.1452
angles: 15.67 15.67 15.67
Site moments in Bohr magnetons follow the coordinates.
Fractional coordinates of all 4 atoms:
K  0.0015  0.0015  0.0015  0.00
K  0.4985  0.4985  0.4985  0.00
Os  0.2500  0.2500  0.2500  0.13
Se  0.7500  0.7500  0.7500  0.10

---

# 19
## RbTa2Cu (PBE-GGA)

Data for an optimized crystal structure of RbTa2Cu.

Results
Theoretical density, g/cm³: 7.1
Energy of formation from the pure elements, eV/atom: 1.7368
Total magnetic moment, μB per formula unit: 0.00

abc: 5.0297 5.0297 10.1303
angles: 75.63 75.63 90.00
Fractional coordinates of all 8 atoms:
Cu  0.5000  0.5000  0.0000
Cu  0.2500  0.7500  0.5000
Rb  0.0000  0.0000  0.0000
Rb  0.7500  0.2500  0.5000
Ta  0.3750  0.1250  0.2500
Ta  0.3750  0.6250  0.2500
Ta  0.3750  0.6250  0.7500
Ta  0.8750  0.6250  0.7500

---

# 20
## NaSnSb (PBE-GGA)

Data for an optimized crystal structure of NaSnSb.

Results
Theoretical density, g/cm³: 5.2
Energy relative to the elements, uncorrected, eV per formula unit: -0.479
Total magnetic moment, μB per formula unit: 0.00

abc: 3.3792 5.3638 5.3638
angles: 120.00 90.00 90.00
Fractional coordinates of all 3 atoms:
Sb  0.1651  0.0000  0.0000
Sn  0.1684  0.6667  0.3333
Na  0.6664  0.3333  0.6667